Rb2Pb4O7 after structural relaxation. Source: Alexandria via LeMat-Bulk, functional GGA-PBEsol.

The calculation puts the formation energy without anion corrections at -1.134 eV/atom.

```
data_Rb2Pb4O7
_chemical_formula_sum 'Rb4 Pb8 O14'
_symmetry_space_group_name_H-M 'P -1'
_symmetry_Int_Tables_number 2
_cell_length_a 6.684
_cell_length_b 7.320
_cell_length_c 10.444
_cell_angle_alpha 101.92
_cell_angle_beta 99.20
_cell_angle_gamma 90.03
loop_
_symmetry_equiv_pos_as_xyz
'x,y,z'
'-x,-y,-z'
loop_
_atom_site_label
_atom_site_fract_x
_atom_site_fract_y
_atom_site_fract_z
_atom_site_occupancy
Rb1 0.076 0.330 0.314 1
Rb2 0.419 0.670 0.687 1
Pb1 0.092 0.850 0.375 1
Pb2 0.243 0.107 0.969 1
Pb3 0.266 0.658 0.064 1
Pb4 0.404 0.151 0.625 1
O1 0.046 0.848 0.165 1
O2 0.150 0.935 0.596 1
O3 0.155 0.341 0.621 1
O4 0.227 0.807 0.903 1
O5 0.340 0.656 0.361 1
O6 0.352 0.065 0.404 1
O7 0.463 0.155 0.834 1
```

***

K2Tc3S6 after structural relaxation. Source: Alexandria via LeMat-Bulk, functional GGA-PBEsol.

The calculation puts the formation energy without anion corrections at -0.902 eV/atom.

```
data_K2Tc3S6
_chemical_formula_sum 'K16 Tc24 S48'
_symmetry_space_group_name_H-M 'C 1 2/c 1'
_symmetry_Int_Tables_number 15
_cell_length_a 16.345
_cell_length_b 9.624
_cell_length_c 11.769
_cell_angle_alpha 90.00
_cell_angle_beta 91.39
_cell_angle_gamma 90.00
loop_
_symmetry_equiv_pos_as_xyz
'x,y,z'
'-x,-y,-z'
'-x,y,-z+1/2'
'x,-y,z+1/2'
'x+1/2,y+1/2,z'
'-x+1/2,-y+1/2,-z'
'-x+1/2,y+1/2,-z+1/2'
'x+1/2,-y+1/2,z+1/2'
loop_
_atom_site_label
_atom_site_fract_x
_atom_site_fract_y
_atom_site_fract_z
_atom_site_occupancy
K1 0.000 0.102 0.250 1
K2 0.000 0.287 0.750 1
K3 0.117 0.261 0.021 1
Tc1 0.156 0.348 0.474 1
Tc2 0.207 0.104 0.417 1
Tc3 0.207 0.178 0.631 1
S1 0.029 0.471 0.425 1
S2 0.084 0.139 0.520 1
S3 0.148 0.088 0.806 1
S4 0.164 0.275 0.282 1
S5 0.164 0.410 0.668 1
S6 0.243 0.461 0.929 1
```

***

CdAgHg2 after structural relaxation. Source: Alexandria via LeMat-Bulk, functional GGA-PBEsol.

The total energy is -1.391 eV per atom.

```
data_CdAgHg2
_chemical_formula_sum 'Cd2 Ag2 Hg4'
_symmetry_space_group_name_H-M 'I -4 m 2'
_symmetry_Int_Tables_number 119
_symmetry_space_group_name_Hall 'I -4 -2'
_cell_length_a 4.296
_cell_length_b 4.296
_cell_length_c 8.629
_cell_angle_alpha 90.00
_cell_angle_beta 90.00
_cell_angle_gamma 90.00
loop_
_atom_site_label
_atom_site_fract_x
_atom_site_fract_y
_atom_site_fract_z
_atom_site_occupancy
Cd1 0.000 0.000 0.000 1
Ag1 0.000 0.500 0.750 1
Hg1 0.000 0.000 0.500 1
Hg2 0.000 0.500 0.250 1
```

***

Zr2CdIr2 after structural relaxation. Source: Alexandria via LeMat-Bulk, functional GGA-PBEsol.

The total energy is -8.041 eV per atom.

```
data_Zr2CdIr2
_chemical_formula_sum 'Zr4 Cd2 Ir4'
_symmetry_space_group_name_H-M 'I 4/m m m'
_symmetry_Int_Tables_number 139
_symmetry_space_group_name_Hall '-I 4 2'
_cell_length_a 3.899
_cell_length_b 3.899
_cell_length_c 13.583
_cell_angle_alpha 90.00
_cell_angle_beta 90.00
_cell_angle_gamma 90.00
loop_
_atom_site_label
_atom_site_fract_x
_atom_site_fract_y
_atom_site_fract_z
_atom_site_occupancy
Zr1 0.000 0.000 0.120 1
Cd1 0.000 0.000 0.500 1
Ir1 0.000 0.500 0.250 1
```

***

CsMnTcS2 after structural relaxation. Source: Alexandria via LeMat-Bulk, functional GGA-PBEsol.

The calculation puts the formation energy without anion corrections at 1.101 eV/atom.

```
data_CsMnTcS2
_chemical_formula_sum 'Cs1 Mn1 Tc1 S2'
_symmetry_space_group_name_H-M 'P 4/m m m'
_symmetry_Int_Tables_number 123
_symmetry_space_group_name_Hall '-P 4 2'
_cell_length_a 4.611
_cell_length_b 4.611
_cell_length_c 5.397
_cell_angle_alpha 90.00
_cell_angle_beta 90.00
_cell_angle_gamma 90.00
loop_
_atom_site_label
_atom_site_fract_x
_atom_site_fract_y
_atom_site_fract_z
_atom_site_occupancy
Cs1 0.000 0.000 0.000 1
Mn1 0.000 0.000 0.500 1
Tc1 0.500 0.500 0.000 1
S1 0.000 0.500 0.500 1
```

***

Mn2SiNi after structural relaxation. Source: Alexandria via LeMat-Bulk, functional GGA-PBEsol.

The calculation puts the formation energy without anion corrections at -0.314 eV/atom.

```
data_Mn2SiNi
_chemical_formula_sum 'Mn4 Si2 Ni2'
_symmetry_space_group_name_H-M 'I -4 m 2'
_symmetry_Int_Tables_number 119
_symmetry_space_group_name_Hall 'I -4 -2'
_cell_length_a 3.562
_cell_length_b 3.562
_cell_length_c 6.799
_cell_angle_alpha 90.00
_cell_angle_beta 90.00
_cell_angle_gamma 90.00
loop_
_atom_site_label
_atom_site_fract_x
_atom_site_fract_y
_atom_site_fract_z
_atom_site_occupancy
Mn1 0.000 0.000 0.000 1
Mn2 0.000 0.500 0.250 1
Si1 0.000 0.500 0.750 1
Ni1 0.000 0.000 0.500 1
```

***

HfZrSN2 after structural relaxation. Source: Alexandria via LeMat-Bulk, functional GGA-PBEsol.

The calculation puts the formation energy without anion corrections at -0.153 eV/atom.

```
data_HfZrSN2
_chemical_formula_sum 'Hf1 Zr1 S1 N2'
_symmetry_space_group_name_H-M 'P 4/m m m'
_symmetry_Int_Tables_number 123
_symmetry_space_group_name_Hall '-P 4 2'
_cell_length_a 4.050
_cell_length_b 4.050
_cell_length_c 4.869
_cell_angle_alpha 90.00
_cell_angle_beta 90.00
_cell_angle_gamma 90.00
loop_
_atom_site_label
_atom_site_fract_x
_atom_site_fract_y
_atom_site_fract_z
_atom_site_occupancy
Hf1 0.000 0.000 0.000 1
Zr1 0.500 0.500 0.500 1
S1 0.500 0.500 0.000 1
N1 0.000 0.500 0.500 1
```

***

Cd2TcHg after structural relaxation. Source: Alexandria via LeMat-Bulk, functional GGA-PBEsol.

The total energy is -3.175 eV per atom.

```
data_Cd2TcHg
_chemical_formula_sum 'Cd2 Tc1 Hg1'
_symmetry_space_group_name_H-M 'P 1 2/m 1'
_symmetry_Int_Tables_number 10
_cell_length_a 2.864
_cell_length_b 4.275
_cell_length_c 5.933
_cell_angle_alpha 90.00
_cell_angle_beta 90.19
_cell_angle_gamma 90.00
loop_
_symmetry_equiv_pos_as_xyz
'x,y,z'
'-x,-y,-z'
'-x,y,-z'
'x,-y,z'
loop_
_atom_site_label
_atom_site_fract_x
_atom_site_fract_y
_atom_site_fract_z
_atom_site_occupancy
Cd1 0.002 0.000 0.232 1
Tc1 0.500 0.500 0.000 1
Hg1 0.500 0.500 0.500 1
```

***

ZnCr3S6O24 after structural relaxation. Source: Alexandria via LeMat-Bulk, functional GGA-PBEsol.

The calculation puts the formation energy without anion corrections at -1.478 eV/atom.

```
data_ZnCr3S6O24
_chemical_formula_sum 'Zn3 Cr9 S18 O72'
_symmetry_space_group_name_H-M 'R 3'
_symmetry_Int_Tables_number 146
_symmetry_space_group_name_Hall 'R 3'
_cell_length_a 8.1531
_cell_length_b 8.1531
_cell_length_c 21.9924
_cell_angle_alpha 90.00
_cell_angle_beta 90.00
_cell_angle_gamma 120.00
loop_
_atom_site_label
_atom_site_fract_x
_atom_site_fract_y
_atom_site_fract_z
_atom_site_occupancy
Zn1 0.0000 0.0000 0.0000 1
Cr1 0.0000 0.0000 0.2970 1
Cr2 0.0000 0.0000 0.5031 1
Cr3 0.0000 0.0000 0.7914 1
S1 0.0094 0.2883 0.3968 1
S2 0.0443 0.6686 0.5639 1
O1 0.0190 0.8099 0.8389 1
O2 0.0201 0.2034 0.4552 1
O3 0.0245 0.1960 0.7353 1
O4 0.0884 0.2228 0.3470 1
O5 0.0911 0.2400 0.0518 1
O6 0.1653 0.7099 0.2202 1
O7 0.1867 0.7542 0.6115 1
O8 0.1920 0.7489 0.9129 1
```

***

YMgCd after structural relaxation. Source: Alexandria via LeMat-Bulk, functional GGA-PBEsol.

The total energy is -3.271 eV per atom.

```
data_YMgCd
_chemical_formula_sum 'Y4 Mg4 Cd4'
_symmetry_space_group_name_H-M 'F -4 3 m'
_symmetry_Int_Tables_number 216
_symmetry_space_group_name_Hall 'F -4 2 3'
_cell_length_a 6.905
_cell_length_b 6.905
_cell_length_c 6.905
_cell_angle_alpha 90.00
_cell_angle_beta 90.00
_cell_angle_gamma 90.00
loop_
_atom_site_label
_atom_site_fract_x
_atom_site_fract_y
_atom_site_fract_z
_atom_site_occupancy
Y1 0.000 0.000 0.000 1
Mg1 0.000 0.000 0.500 1
Cd1 0.250 0.250 0.750 1
```

***

Li3VF5 after structural relaxation. Source: Alexandria via LeMat-Bulk, functional GGA-PBEsol.

The energy relative to the lowest polymorph listed for this composition is 0 meV/atom. The calculation puts the formation energy without anion corrections at -2.693 eV/atom.

```
data_Li3VF5
_chemical_formula_sum 'Li24 V8 F40'
_symmetry_space_group_name_H-M 'P b c a'
_symmetry_Int_Tables_number 61
_cell_length_a 5.739
_cell_length_b 11.193
_cell_length_c 11.406
_cell_angle_alpha 90.00
_cell_angle_beta 90.00
_cell_angle_gamma 90.00
loop_
_symmetry_equiv_pos_as_xyz
'x,y,z'
'-x,-y,-z'
'-x+1/2,-y,z+1/2'
'x+1/2,y,-z+1/2'
'x+1/2,-y+1/2,-z'
'-x+1/2,y+1/2,z'
'-x,y+1/2,-z+1/2'
'x,-y+1/2,z+1/2'
loop_
_atom_site_label
_atom_site_fract_x
_atom_site_fract_y
_atom_site_fract_z
_atom_site_occupancy
Li1 0.009 0.170 0.178 1
Li2 0.151 0.568 0.065 1
Li3 0.234 0.060 0.818 1
V1 0.205 0.673 0.572 1
F1 0.010 0.657 0.846 1
F2 0.102 0.518 0.663 1
F3 0.125 0.180 0.998 1
F4 0.153 0.685 0.186 1
F5 0.187 0.054 0.443 1
```

***

DyGaGe2O7 after structural relaxation. Source: Alexandria via LeMat-Bulk, functional GGA-PBEsol.

The calculation puts the formation energy without anion corrections at -2.211 eV/atom.

```
data_DyGaGe2O7
_chemical_formula_sum 'Dy4 Ga4 Ge8 O28'
_symmetry_space_group_name_H-M 'P 1 21/c 1'
_symmetry_Int_Tables_number 14
_cell_length_a 7.104
_cell_length_b 6.556
_cell_length_c 12.674
_cell_angle_alpha 90.00
_cell_angle_beta 117.86
_cell_angle_gamma 90.00
loop_
_symmetry_equiv_pos_as_xyz
'x,y,z'
'-x,-y,-z'
'-x,y+1/2,-z+1/2'
'x,-y+1/2,z+1/2'
loop_
_atom_site_label
_atom_site_fract_x
_atom_site_fract_y
_atom_site_fract_z
_atom_site_occupancy
Dy1 0.239 0.145 0.473 1
Ga1 0.210 0.099 0.731 1
Ge1 0.219 0.658 0.460 1
Ge2 0.299 0.588 0.725 1
O1 0.013 0.657 0.927 1
O2 0.146 0.689 0.186 1
O3 0.213 0.113 0.282 1
O4 0.215 0.056 0.877 1
O5 0.259 0.003 0.082 1
O6 0.412 0.667 0.978 1
O7 0.424 0.121 0.686 1
```